{"formula": "BaPIr2", "functional": "GGA-PBE", "state": "optimized geometry", "density_g_cm3": 11.8, "formation_enthalpy_0k_ev_per_atom": 0.700, "lattice": [[-4.299, -2.547, -3.240], [4.761, -1.703, -0.900], [-0.627, -2.487, 1.443]], "species": ["Ba", "Ir", "Ir", "P"], "frac_coords": [[0.500, 0.000, 0.500], [0.000, 0.000, 0.000], [0.000, 0.500, 0.500], [0.500, 0.500, 0.000]]}